[1]
Computed, not measured: crystalline FeIrRh4 at its relaxed geometry at the GGA-PBE level of DFT.

Lattice parameters (Å, degrees): 2.715 3.789 8.133 90.00 90.00 90.00
Atoms (fractional coordinates):
Rh (0.000, 0.500, 0.339)
Rh (0.500, 0.000, 0.169)
Rh (0.500, 0.000, 0.831)
Rh (0.000, 0.500, 0.661)
Fe (0.500, 0.000, 0.500)
Ir (0.000, 0.500, 0.000)

- formation energy (eV/atom) = -0.014
- theoretical density (Mg/m³) = 13.1
- E_tot (eV per formula unit) = -46.81
- magnetization (μB/f.u.) = 2.8
- energy relative to the lowest polymorph listed for this composition (eV per formula unit) = 0.00

[2]
Computed, not measured: crystalline NaSr3Pb at its relaxed geometry at the GGA-PBE level of DFT.

Lattice parameters (Å, degrees): 5.856 5.857 12.116 90.00 76.02 90.00
Atoms (fractional coordinates):
Na (0.484, 0.750, 0.679)
Na (0.164, 0.250, 0.321)
Sr (0.256, 0.750, 0.137)
Sr (0.754, 0.250, 0.139)
Sr (0.894, 0.750, 0.861)
Sr (0.392, 0.250, 0.863)
Sr (0.574, 0.250, 0.500)
Sr (0.074, 0.750, 0.500)
Pb (0.662, 0.750, 0.324)
Pb (0.986, 0.250, 0.676)

- formation energy (eV/atom) = -0.271
- theoretical density (Mg/m³) = 4.1
- E_tot (eV per formula unit) = -11.43
- magnetization (μB/f.u.) = 0.0
- energy relative to the lowest polymorph listed for this composition (eV per formula unit) = 0.00

[3]
Computed, not measured: crystalline Y2O3 at its relaxed geometry at the GGA-PBE level of DFT.

Lattice parameters (Å, degrees): 3.686 3.686 5.920 90.00 90.00 120.00
Atoms (fractional coordinates):
Y (0.667, 0.333, 0.750)
Y (0.333, 0.667, 0.250)
O (0.667, 0.333, 0.354)
O (0.333, 0.667, 0.646)
O (0.000, 0.000, 0.000)

- theoretical density (Mg/m³) = 5.4
- E_tot (eV per formula unit) = -45.21
- raw formation energy (eV per atom) = -3.48
- magnetization (μB/f.u.) = 0.0

[4]
Computed, not measured: crystalline Dy2CuI at its relaxed geometry at the GGA-PBE level of DFT.

Lattice parameters (Å, degrees): 4.027 4.027 8.194 75.77 75.77 60.00
Atoms (fractional coordinates):
Cu (0.667, 0.667, 0.998)
Dy (0.268, 0.268, 0.195)
Dy (0.065, 0.065, 0.805)
I (0.499, 0.499, 0.502)

- theoretical density (Mg/m³) = 7.8
- E_tot (eV per formula unit) = -16.73
- raw formation energy (eV per atom) = -0.47
- magnetization (μB/f.u.) = 0.0
- energy relative to the lowest polymorph listed for this composition (eV per formula unit) = 0.03

[5]
Computed, not measured: crystalline LiHgSbI2 at its relaxed geometry at the GGA-PBE level of DFT.

Lattice parameters (Å, degrees): 5.531 5.531 5.270 90.00 90.00 90.00
Atoms (fractional coordinates):
I (0.500, 0.000, 0.000)
I (0.000, 0.500, 0.000)
Li (0.000, 0.000, 0.000)
Hg (0.500, 0.500, 0.500)
Sb (0.000, 0.000, 0.500)

- theoretical density (Mg/m³) = 6.0
- E_tot (eV per formula unit) = -9.11
- raw formation energy (eV per atom) = 0.07
- magnetization (μB/f.u.) = 0.0
- energy relative to the lowest polymorph listed for this composition (eV per formula unit) = 0.00

[6]
Computed, not measured: crystalline Li2Ir2Rh3 at its relaxed geometry at the GGA-PBE level of DFT.

Lattice parameters (Å, degrees): 3.849 4.638 9.256 133.95 90.00 114.51
Atoms (fractional coordinates):
Rh (0.160, 0.319, 0.711)
Rh (0.000, 0.000, 0.000)
Rh (0.840, 0.681, 0.289)
Li (0.729, 0.458, 0.571)
Li (0.271, 0.542, 0.429)
Ir (0.590, 0.181, 0.863)
Ir (0.410, 0.819, 0.137)

- formation energy (eV/atom) = -0.029
- theoretical density (Mg/m³) = 12.1
- E_tot (eV per formula unit) = -43.81
- magnetization (μB/f.u.) = 0.0

[7]
Computed, not measured: crystalline CaBrCl2 at its relaxed geometry at the GGA-PBE level of DFT.

Lattice parameters (Å, degrees): 4.097 5.623 7.003 53.32 90.00 90.00
Atoms (fractional coordinates):
Cl (0.000, 0.573, 0.597)
Cl (0.000, 0.927, 0.903)
Br (0.500, 0.250, 0.250)
Ca (0.500, 0.750, 0.750)

- theoretical density (Mg/m³) = 2.4
- E_tot (eV per formula unit) = -13.17
- raw formation energy (eV per atom) = -1.45
- magnetization (μB/f.u.) = 1.0
- energy relative to the lowest polymorph listed for this composition (eV per formula unit) = 0.74

[8]
Computed, not measured: crystalline TaCu2Sb at its relaxed geometry at the GGA-PBE level of DFT.

Lattice parameters (Å, degrees): 3.051 3.889 5.647 90.00 90.00 90.00
Atoms (fractional coordinates):
Cu (0.000, 0.000, 0.973)
Cu (0.000, 0.000, 0.527)
Ta (0.500, 0.500, 0.750)
Sb (0.500, 0.500, 0.250)

- theoretical density (Mg/m³) = 10.7
- E_tot (eV per formula unit) = -23.25
- raw formation energy (eV per atom) = 0.23
- magnetization (μB/f.u.) = 0.0

[9]
Computed, not measured: crystalline LiHo2Hf at its relaxed geometry at the GGA-PBE level of DFT.

Lattice parameters (Å, degrees): 3.340 3.340 11.209 81.43 81.43 60.00
Atoms (fractional coordinates):
Ho (0.079, 0.079, 0.764)
Ho (0.255, 0.255, 0.236)
Hf (0.667, 0.667, 0.000)
Li (0.500, 0.500, 0.500)

- formation energy (eV/atom) = 0.132
- theoretical density (Mg/m³) = 8.0
- E_tot (eV per formula unit) = -20.50
- magnetization (μB/f.u.) = 0.0
- energy relative to the lowest polymorph listed for this composition (eV per formula unit) = 0.14

[10]
Computed, not measured: crystalline TlI4 at its relaxed geometry at the GGA-PBE level of DFT.

Lattice parameters (Å, degrees): 6.097 6.097 6.097 90.00 90.00 90.00
Atoms (fractional coordinates):
I (0.000, 0.000, 0.000)
I (0.000, 0.500, 0.500)
I (0.500, 0.000, 0.500)
I (0.500, 0.500, 0.000)
Tl (0.500, 0.500, 0.500)

- theoretical density (Mg/m³) = 5.2
- E_tot (eV per formula unit) = -7.91
- raw formation energy (eV per atom) = 0.13
- magnetization (μB/f.u.) = 1.7
- energy relative to the lowest polymorph listed for this composition (eV per formula unit) = 1.90

[11]
Computed, not measured: crystalline TbHo3In2 at its relaxed geometry at the GGA-PBE level of DFT.

Lattice parameters (Å, degrees): 5.171 6.710 9.787 90.00 90.00 90.00
Atoms (fractional coordinates):
Ho (0.000, 0.316, 0.317)
Ho (0.000, 0.464, 0.962)
Ho (0.000, 0.964, 0.038)
Ho (0.500, 0.184, 0.819)
Ho (0.500, 0.684, 0.181)
Ho (0.000, 0.816, 0.683)
In (0.000, 0.289, 0.642)
In (0.500, 0.711, 0.859)
In (0.500, 0.211, 0.141)
In (0.000, 0.789, 0.358)
Tb (0.500, 0.536, 0.537)
Tb (0.500, 0.036, 0.463)

- formation energy (eV/atom) = -0.357
- theoretical density (Mg/m³) = 8.6
- E_tot (eV per formula unit) = -25.98
- magnetization (μB/f.u.) = 0.0
- energy relative to the lowest polymorph listed for this composition (eV per formula unit) = 0.00

[12]
Computed, not measured: crystalline MgSc2GaO at its relaxed geometry at the GGA-PBE level of DFT.

Lattice parameters (Å, degrees): 4.384 4.384 4.248 90.00 90.00 90.00
Atoms (fractional coordinates):
O (0.000, 0.000, 0.000)
Ga (0.500, 0.500, 0.500)
Sc (0.000, 0.500, 0.000)
Sc (0.500, 0.000, 0.000)
Mg (0.000, 0.000, 0.500)

- theoretical density (Mg/m³) = 4.1
- E_tot (eV per formula unit) = -29.02
- raw formation energy (eV per atom) = -1.35
- magnetization (μB/f.u.) = 0.0

[13]
Computed, not measured: crystalline Na2CaPbF8 at its relaxed geometry at the GGA-PBE level of DFT.

Lattice parameters (Å, degrees): 3.839 5.579 7.736 90.00 90.00 90.05
Atoms (fractional coordinates):
F (0.500, 0.776, 0.000)
F (0.500, 0.760, 0.500)
F (0.000, 0.768, 0.224)
F (0.000, 0.232, 0.776)
F (0.500, 0.240, 0.500)
F (0.500, 0.224, 0.000)
F (0.000, 0.768, 0.776)
F (0.000, 0.232, 0.224)
Na (0.500, 0.500, 0.267)
Na (0.500, 0.500, 0.733)
Pb (0.000, 0.000, 0.000)
Ca (0.000, 0.000, 0.500)

- theoretical density (Mg/m³) = 4.5
- E_tot (eV per formula unit) = -55.94
- raw formation energy (eV per atom) = -2.72
- magnetization (μB/f.u.) = 0.0

[14]
Computed, not measured: crystalline PaGaSi at its relaxed geometry at the GGA-PBE level of DFT.

Lattice parameters (Å, degrees): 4.111 5.755 5.755 88.03 69.07 69.07
Atoms (fractional coordinates):
Ga (0.167, 0.333, 0.333)
Ga (0.833, 0.667, 0.667)
Si (0.163, 0.837, 0.837)
Si (0.837, 0.163, 0.163)
Pa (0.500, 0.245, 0.755)
Pa (0.500, 0.755, 0.245)

- theoretical density (Mg/m³) = 9.2
- E_tot (eV per formula unit) = -19.15
- raw formation energy (eV per atom) = -0.40
- magnetization (μB/f.u.) = 0.0
- energy relative to the lowest polymorph listed for this composition (eV per formula unit) = 0.00

[15]
Computed, not measured: crystalline Ca5Pt7 at its relaxed geometry at the GGA-PBE level of DFT.

Lattice parameters (Å, degrees): 4.418 5.986 8.992 90.00 90.00 90.00
Atoms (fractional coordinates):
Ca (0.000, 0.000, 0.962)
Ca (0.500, 0.748, 0.169)
Ca (0.000, 0.000, 0.630)
Ca (0.500, 0.252, 0.169)
Ca (0.000, 0.500, 0.383)
Pt (0.500, 0.270, 0.833)
Pt (0.500, 0.256, 0.507)
Pt (0.000, 0.500, 0.697)
Pt (0.500, 0.730, 0.833)
Pt (0.500, 0.744, 0.507)
Pt (0.000, 0.000, 0.306)
Pt (0.000, 0.500, 0.004)

- formation energy (eV/atom) = -0.529
- theoretical density (Mg/m³) = 10.9
- E_tot (eV per formula unit) = -58.64
- magnetization (μB/f.u.) = 0.0
- energy relative to the lowest polymorph listed for this composition (eV per formula unit) = 2.13

[16]
Computed, not measured: crystalline Rb2Mn2Br at its relaxed geometry at the GGA-PBE level of DFT.

Lattice parameters (Å, degrees): 7.209 7.209 6.403 55.74 55.74 90.00
Atoms (fractional coordinates):
Rb (0.250, 0.750, 0.500)
Rb (0.750, 0.250, 0.500)
Mn (0.346, 0.346, 0.308)
Mn (0.654, 0.654, 0.692)
Br (0.000, 0.000, 0.000)

- theoretical density (Mg/m³) = 3.0
- E_tot (eV per formula unit) = -19.46
- raw formation energy (eV per atom) = 0.50
- magnetization (μB/f.u.) = 8.3
- energy relative to the lowest polymorph listed for this composition (eV per formula unit) = 0.06

[17]
Computed, not measured: crystalline ZrAlPd3 at its relaxed geometry at the GGA-PBE level of DFT.

Lattice parameters (Å, degrees): 4.922 4.922 4.922 90.00 90.00 90.00
Atoms (fractional coordinates):
Pd (0.500, 0.000, 0.000)
Pd (0.000, 0.000, 0.500)
Pd (0.000, 0.500, 0.000)
Al (0.500, 0.500, 0.500)
Zr (0.000, 0.000, 0.000)

- formation energy (eV/atom) = 0.686
- theoretical density (Mg/m³) = 6.1
- E_tot (eV per formula unit) = -24.44
- magnetization (μB/f.u.) = 0.0
- energy relative to the lowest polymorph listed for this composition (eV per formula unit) = 6.86

[18]
Computed, not measured: crystalline CoP2 at its relaxed geometry at the GGA-PBE level of DFT.

Lattice parameters (Å, degrees): 4.333 2.690 7.779 90.00 99.54 90.00
Atoms (fractional coordinates):
P (0.300, 0.500, 0.921)
P (0.695, 0.000, 0.627)
P (0.695, 0.500, 0.127)
P (0.300, 0.000, 0.421)
Co (0.210, 0.500, 0.200)
Co (0.210, 0.000, 0.700)

- formation energy (eV/atom) = -0.116
- theoretical density (Mg/m³) = 4.5
- E_tot (eV per formula unit) = -18.27
- magnetization (μB/f.u.) = 0.0

[19]
Computed, not measured: crystalline Mg6Pd3Au at its relaxed geometry at the GGA-PBE level of DFT.

Lattice parameters (Å, degrees): 7.102 6.705 8.032 90.00 90.31 90.00
Atoms (fractional coordinates):
Mg (0.351, 0.851, 0.064)
Mg (0.764, 0.399, 0.248)
Mg (0.839, 0.642, 0.936)
Mg (0.851, 0.649, 0.564)
Mg (0.161, 0.358, 0.064)
Mg (0.649, 0.149, 0.936)
Mg (0.236, 0.601, 0.752)
Mg (0.264, 0.101, 0.748)
Mg (0.661, 0.142, 0.564)
Mg (0.149, 0.351, 0.436)
Mg (0.736, 0.899, 0.252)
Mg (0.339, 0.858, 0.436)
Au (0.500, 0.500, 0.500)
Au (0.000, 0.000, 0.000)
Pd (0.000, 0.000, 0.500)
Pd (0.957, 0.323, 0.752)
Pd (0.543, 0.823, 0.748)
Pd (0.500, 0.500, 0.000)
Pd (0.043, 0.677, 0.248)
Pd (0.457, 0.177, 0.252)

- formation energy (eV/atom) = -0.459
- theoretical density (Mg/m³) = 5.7
- E_tot (eV per formula unit) = -33.01
- magnetization (μB/f.u.) = 0.0

[20]
Computed, not measured: crystalline BaCoSe2Br at its relaxed geometry at the GGA-PBE level of DFT.

Lattice parameters (Å, degrees): 4.827 4.827 5.471 90.00 90.00 90.00
Atoms (fractional coordinates):
Br (0.000, 0.000, 0.500)
Se (0.500, 0.000, 0.000)
Se (0.000, 0.500, 0.000)
Ba (0.500, 0.500, 0.500)
Co (0.000, 0.000, 0.000)

- theoretical density (Mg/m³) = 5.7
- E_tot (eV per formula unit) = -21.98
- raw formation energy (eV per atom) = -0.86
- magnetization (μB/f.u.) = 2.2
- energy relative to the lowest polymorph listed for this composition (eV per formula unit) = 0.00